VASP calculation (PBE-GGA) on AcPm3Pd3 after structural relaxation.

Summary:
Its formation energy is -120 kJ/mol of formula units. Its raw total energy is -0.18468 Ha/atom.

CIF file:
```
data_AcPm3Pd3
_chemical_formula_sum 'Ac2 Pm6 Pd6'
_space_group_name_H-M_alt 'P 1'
_space_group_IT_number 1
_cell_length_a 7.830
_cell_length_b 7.830
_cell_length_c 7.830
_cell_angle_alpha 90.00
_cell_angle_beta 90.00
_cell_angle_gamma 90.00
loop_
_space_group_symop_operation_xyz
'x,y,z'
loop_
_atom_site_label
_atom_site_fract_x
_atom_site_fract_y
_atom_site_fract_z
Pm1 0.500 0.000 0.250
Pm2 0.500 0.000 0.750
Pd1 0.000 0.500 0.250
Ac1 0.500 0.500 0.500
Ac2 0.000 0.000 0.000
Pm3 0.250 0.500 0.000
Pd2 0.000 0.500 0.750
Pd3 0.500 0.250 0.000
Pd4 0.750 0.000 0.500
Pm4 0.750 0.500 0.000
Pm5 0.000 0.250 0.500
Pd5 0.500 0.750 0.000
Pd6 0.250 0.000 0.500
Pm6 0.000 0.750 0.500
```

VASP calculation (PBE-GGA) on Ac4Pm3Pd2 after structural relaxation.

Summary:
Its formation energy is -282 kJ/mol of formula units. Its raw total energy is -0.17962 Ha/atom.

CIF file:
```
data_Ac4Pm3Pd2
_chemical_formula_sum 'Ac4 Pm3 Pd2'
_space_group_name_H-M_alt 'P 1'
_space_group_IT_number 1
_cell_length_a 4.019
_cell_length_b 9.597
_cell_length_c 9.341
_cell_angle_alpha 114.83
_cell_angle_beta 102.42
_cell_angle_gamma 90.00
loop_
_space_group_symop_operation_xyz
'x,y,z'
loop_
_atom_site_label
_atom_site_fract_x
_atom_site_fract_y
_atom_site_fract_z
Ac1 0.231 0.659 0.463
Ac2 0.379 0.116 0.758
Pd1 0.397 0.562 0.793
Ac3 0.621 0.884 0.242
Pm1 0.925 0.808 0.850
Pm2 0.075 0.192 0.150
Pm3 0.000 0.500 0.000
Ac4 0.769 0.341 0.537
Pd2 0.603 0.438 0.207
```

Q: Which of these has the highest raw total energy?
A: Ac4Pm3Pd2

Copy entry 1 word for word.
VASP calculation (PBE-GGA) on AcPm3Pd3 after structural relaxation.

Summary:
Its formation energy is -120 kJ/mol of formula units. Its raw total energy is -0.18468 Ha/atom.

CIF file:
```
data_AcPm3Pd3
_chemical_formula_sum 'Ac2 Pm6 Pd6'
_space_group_name_H-M_alt 'P 1'
_space_group_IT_number 1
_cell_length_a 7.830
_cell_length_b 7.830
_cell_length_c 7.830
_cell_angle_alpha 90.00
_cell_angle_beta 90.00
_cell_angle_gamma 90.00
loop_
_space_group_symop_operation_xyz
'x,y,z'
loop_
_atom_site_label
_atom_site_fract_x
_atom_site_fract_y
_atom_site_fract_z
Pm1 0.500 0.000 0.250
Pm2 0.500 0.000 0.750
Pd1 0.000 0.500 0.250
Ac1 0.500 0.500 0.500
Ac2 0.000 0.000 0.000
Pm3 0.250 0.500 0.000
Pd2 0.000 0.500 0.750
Pd3 0.500 0.250 0.000
Pd4 0.750 0.000 0.500
Pm4 0.750 0.500 0.000
Pm5 0.000 0.250 0.500
Pd5 0.500 0.750 0.000
Pd6 0.250 0.000 0.500
Pm6 0.000 0.750 0.500
```

Q: Number 1 is which compound?
A: AcPm3Pd3

Q: What is the raw total energy in the first record?
A: -0.18468 Ha/atom